Computed, not measured: HoBeNO after structural relaxation at the PBE-GGA level of DFT.

Cell lengths 3.4707, 3.4707, 7.1932 Å; angles 90.00, 90.00, 90.00 degrees
Space group P4/nmm (No. 129, origin choice 2)
Asymmetric unit:
1 Ho 0.2500 0.2500 0.1733 x2
2 Be 0.2500 0.7500 0.5000 x2
3 N 0.2500 0.2500 0.5949 x2
4 O 0.2500 0.7500 0.0000 x2

=====

Computed, not measured: HoBeNO after structural relaxation at the PBE-GGA level of DFT.

Cell lengths 3.1898, 5.1417, 5.3081 Å; angles 90.00, 90.00, 90.00 degrees
Space group Pmc2_1 (No. 26)
Asymmetric unit:
1 Ho 0.0000 0.2147 0.0000 x2
2 Be 0.5000 0.2025 0.5301 x2
3 N 0.5000 0.0329 0.2608 x2
4 O 0.0000 0.3604 0.5717 x2

=====

Computed, not measured: HoBeNO after structural relaxation at the PBE-GGA level of DFT.

Cell lengths 4.9737, 7.1415, 4.7744 Å; angles 90.00, 90.00, 90.00 degrees
Space group Pca2_1 (No. 29)
Asymmetric unit:
1 Ho 0.0134 0.1656 0.0000 x4
2 Be 0.0753 0.5928 0.9829 x4
3 N 0.0034 0.1615 0.5053 x4
4 O 0.1309 0.5482 0.6410 x4

=====

Computed, not measured: HoBeNO after structural relaxation at the PBE-GGA level of DFT.

Cell lengths 3.4601, 5.4746, 4.8483 Å; angles 90.00, 90.00, 90.00 degrees
Space group Pmc2_1 (No. 26)
Asymmetric unit:
1 Ho 0.0000 0.2173 0.0000 x2
2 Be 0.5000 0.3273 0.5257 x2
3 N 0.0000 0.1914 0.4802 x2
4 O 0.5000 0.4125 0.8510 x2

=====

Computed, not measured: HoBeNO after structural relaxation at the PBE-GGA level of DFT.

Cell lengths 5.3937, 6.3053, 4.8809 Å; angles 90.00, 90.00, 90.00 degrees
Space group Pca2_1 (No. 29)
Asymmetric unit:
1 Ho 0.0538 0.2172 0.0000 x4
2 Be 0.0811 0.6030 0.0163 x4
3 N 0.1560 0.5211 0.6970 x4
4 O 0.0261 0.1401 0.5084 x4

=====

Computed, not measured: HoBeNO after structural relaxation at the PBE-GGA level of DFT.

Cell lengths 4.5660, 4.5660, 4.5152 Å; angles 90.00, 90.00, 90.00 degrees
Space group P4/nmm (No. 129, origin choice 2)
Asymmetric unit:
1 Ho 0.2500 0.7500 0.0000 x2
2 Be 0.2500 0.2500 0.4232 x2
3 N 0.2500 0.2500 0.0734 x2
4 O 0.2500 0.7500 0.5000 x2

=====

| no. | ρ (Mg/m³) | ΔE to the lowest computed polymorph (eV/atom) |
| --- | --- | --- |
| 1 | 7.8 | 0.3309 |
| 2 | 7.8 | 0.1219 |
| 3 | 8.0 | 0.0000 |
| 4 | 7.4 | 0.2022 |
| 5 | 8.2 | 0.1944 |
| 6 | 7.2 | 0.5852 |